# La7PN5

La7PN5 after structural relaxation (GGA-PBE, the Alexandria database).

Cell: 6.5324 6.5324 22.4207 Å, 90.00 90.00 145.83°
Last column: nearest neighbours and their distance in Å.
Atoms (fractional coordinates):
La  0.0172  0.9828  0.7500  2 N 2.54
La  0.1370  0.8630  0.0320  6 N 2.60-2.76
La  0.1370  0.8630  0.4680  6 N 2.60-2.76
La  0.3171  0.6829  0.6657  3 N 2.37-2.56
La  0.3171  0.6829  0.8343  3 N 2.37-2.56
La  0.4163  0.5837  0.1027  5 N 2.53-2.73
La  0.4163  0.5837  0.3973  5 N 2.53-2.73
La  0.5837  0.4163  0.6027  5 N 2.53-2.73
La  0.5837  0.4163  0.8973  5 N 2.53-2.73
La  0.6829  0.3171  0.1657  3 N 2.37-2.56
La  0.6829  0.3171  0.3343  3 N 2.37-2.56
La  0.8630  0.1370  0.5320  6 N 2.60-2.76
La  0.8630  0.1370  0.9680  6 N 2.60-2.76
La  0.9828  0.0172  0.2500  2 N 2.54
P  0.3048  0.6952  0.2500  6 La 2.94-3.09
P  0.6952  0.3048  0.7500  6 La 2.94-3.09
N  0.0534  0.9466  0.1436  6 La 2.54-2.73
N  0.0534  0.9466  0.3564  6 La 2.54-2.73
N  0.2233  0.7767  0.5736  2 La 2.37-2.60
N  0.2233  0.7767  0.9264  2 La 2.37-2.60
N  0.5000  0.5000  0.0000  6 La 2.53-2.67
N  0.5000  0.5000  0.5000  6 La 2.53-2.67
N  0.7767  0.2233  0.0736  2 La 2.37-2.60
N  0.7767  0.2233  0.4264  2 La 2.37-2.60
N  0.9466  0.0534  0.6436  6 La 2.54-2.73
N  0.9466  0.0534  0.8564  6 La 2.54-2.73

Calculated values
Formation energy without anion corrections in kJ/mol of formula units: -1615
Calculated total energy in eV/atom: -7.559

# LaPa2PN6

LaPa2PN6 after structural relaxation (GGA-PBE, the Alexandria database).

Cell: 5.2464 5.2464 5.3601 Å, 90.00 90.00 90.00°
Last column: nearest neighbours and their distance in Å.
Atoms (fractional coordinates):
La  0.0000  0.0000  0.0000  5 N 2.36-2.38
Pa  0.0000  0.5000  0.4592  4 N 2.27
Pa  0.5000  0.0000  0.4592  4 N 2.27
P  0.5000  0.5000  0.0929  5 N 1.70-1.78
N  0.0000  0.0000  0.5589  1 La 2.36
N  0.2784  0.2784  0.2190  1 P 1.78
N  0.2784  0.7216  0.2190  1 P 1.78
N  0.5000  0.5000  0.7767  1 P 1.70
N  0.7216  0.2784  0.2190  1 P 1.78
N  0.7216  0.7216  0.2190  1 P 1.78

Calculated values
Formation energy without anion corrections in kJ/mol of formula units: -848
Calculated total energy in eV/atom: -8.807

# LaPaPN

LaPaPN after structural relaxation (GGA-PBE, the Alexandria database).

Cell: 13.9457 13.9457 13.9457 Å, 16.11 16.11 16.11°
Last column: nearest neighbours and their distance in Å.
Atoms (fractional coordinates):
La  0.2102  0.2102  0.2102  3 P 2.90
La  0.7898  0.7898  0.7898  3 P 2.90
Pa  0.3687  0.3687  0.3687  4 N 2.28-2.35
Pa  0.6313  0.6313  0.6313  4 N 2.28-2.35
P  0.0790  0.0790  0.0790  3 Pa 2.89, 3 La 2.90
P  0.9210  0.9210  0.9210  3 Pa 2.89, 3 La 2.90
N  0.3135  0.3135  0.3135  4 Pa 2.28-2.35
N  0.6865  0.6865  0.6865  4 Pa 2.28-2.35

Calculated values
Formation energy without anion corrections in kJ/mol of formula units: -540
Calculated total energy in eV/atom: -8.438